Here is a geometry-optimized Hf2MnBiF structure from the Alexandria database. Energies are from PBE with a Hubbard U.

For the theoretical density, the calculation gives 9.906 g/cm3. The crystal system is tetragonal. The density of states at the Fermi level is 0.81 states/eV per atom. The total DFT energy (no corrections) is -32.34 eV/f.u.

The space group is P4/mmm (No. 123) and the conventional cell measures 5.2691, 5.2691 and 3.8637 Å, with angles of 90.00, 90.00 and 90.00 degrees. The asymmetric unit holds Hf at (0.0000, 0.5000, 0.0000), Mn at (0.0000, 0.0000, 0.0000), Bi at (0.5000, 0.5000, 0.5000) and F at (0.0000, 0.0000, 0.5000).